# 1
NpGe3Pd3 | GGA-PBE | relaxed

Cell lengths 6.786, 6.786, 6.786 Å; angles 90.00, 90.00, 90.00 degrees
Positions (direct):
Np 0.000 0.000 0.000
Np 0.500 0.500 0.500
Ge 0.000 0.250 0.500
Ge 0.000 0.750 0.500
Ge 0.250 0.500 0.000
Ge 0.500 0.000 0.250
Ge 0.500 0.000 0.750
Ge 0.750 0.500 0.000
Pd 0.000 0.500 0.250
Pd 0.000 0.500 0.750
Pd 0.250 0.000 0.500
Pd 0.500 0.250 0.000
Pd 0.500 0.750 0.000
Pd 0.750 0.000 0.500

Properties
energy relative to the lowest polymorph listed for this composition	0	meV per atom
ΔH_f (0 K)	0.004	eV per atom
crystal system	cubic


# 2
Rb5Ga2As4 | GGA-PBE | relaxed

Cell lengths 10.326, 10.326, 10.378 Å; angles 98.69, 98.69, 23.18 degrees
Positions (direct):
Rb 0.000 0.000 0.000
Rb 0.330 0.330 0.008
Rb 0.357 0.357 0.540
Rb 0.643 0.643 0.460
Rb 0.670 0.670 0.992
Ga 0.089 0.089 0.728
Ga 0.911 0.911 0.272
As 0.208 0.208 0.733
As 0.479 0.479 0.257
As 0.521 0.521 0.743
As 0.792 0.792 0.267

Properties
ΔH_f (0 K)	-0.296	eV per atom
crystal system	monoclinic


# 3
Tl2Ni2Hg | GGA-PBE | relaxed

Cell lengths 8.048, 8.048, 3.020 Å; angles 90.00, 90.00, 90.00 degrees
Positions (direct):
Tl 0.172 0.328 0.000
Tl 0.328 0.828 0.000
Tl 0.672 0.172 0.000
Tl 0.828 0.672 0.000
Ni 0.117 0.617 0.500
Ni 0.383 0.117 0.500
Ni 0.617 0.883 0.500
Ni 0.883 0.383 0.500
Hg 0.000 0.000 0.000
Hg 0.500 0.500 0.000

Properties
energy relative to the lowest polymorph listed for this composition	161	meV per atom
ΔH_f (0 K)	0.381	eV per atom
crystal system	tetragonal


# 4
LaY2Os | GGA-PBE | relaxed

Cell lengths 9.627, 9.627, 9.627 Å; angles 23.67, 23.67, 23.67 degrees
Positions (direct):
La 0.000 0.000 0.000
Y 0.222 0.222 0.222
Y 0.778 0.778 0.778
Os 0.500 0.500 0.500

Properties
energy relative to the lowest polymorph listed for this composition	344	meV per atom
ΔH_f (0 K)	0.138	eV per atom
crystal system	trigonal


# 5
CeTh2In2 | GGA-PBE | relaxed

Cell lengths 6.435, 6.435, 6.435 Å; angles 123.85, 123.85, 83.45 degrees
Positions (direct):
Ce 0.000 0.000 0.000
Th 0.327 0.327 0.000
Th 0.673 0.673 0.000
In 0.250 0.750 0.500
In 0.750 0.250 0.500

Properties
energy relative to the lowest polymorph listed for this composition	312	meV per atom
ΔH_f (0 K)	0.318	eV per atom
crystal system	tetragonal


# 6
TiCu2IrW | GGA-PBE | relaxed

Cell lengths 4.602, 4.602, 4.509 Å; angles 90.00, 90.00, 90.00 degrees
Positions (direct):
Ti 0.000 0.000 0.000
Cu 0.000 0.500 0.500
Cu 0.500 0.000 0.500
Ir 0.000 0.000 0.500
W 0.500 0.500 0.000

Properties
ΔH_f (0 K)	1.392	eV per atom
crystal system	tetragonal


# 7
Ho2AsPt | GGA-PBE | relaxed

Cell lengths 7.130, 7.130, 7.130 Å; angles 33.21, 33.21, 33.21 degrees
Positions (direct):
Ho 0.249 0.249 0.249
Ho 0.751 0.751 0.751
As 0.000 0.000 0.000
Pt 0.500 0.500 0.500

Properties
ΔH_f (0 K)	-1.232	eV per atom
crystal system	trigonal


# 8
Pm2Nd5Ho2 | GGA-PBE | relaxed

Cell lengths 10.203, 10.203, 10.203 Å; angles 85.13, 108.23, 140.53 degrees
Positions (direct):
Pm 0.004 0.126 0.130
Pm 0.004 0.374 0.377
Pm 0.996 0.626 0.623
Pm 0.996 0.874 0.870
Nd 0.092 0.398 0.799
Nd 0.092 0.793 0.194
Nd 0.391 0.898 0.993
Nd 0.444 0.321 0.409
Nd 0.444 0.535 0.622
Nd 0.599 0.293 0.201
Nd 0.599 0.898 0.806
Nd 0.904 0.398 0.007
Nd 0.913 0.035 0.591
Nd 0.913 0.821 0.378
Ho 0.448 0.206 0.742
Ho 0.465 0.706 0.258
Ho 0.521 0.021 0.500
Ho 0.521 0.521 0.000

Properties
energy relative to the lowest polymorph listed for this composition	192	meV per atom
ΔH_f (0 K)	0.207	eV per atom
crystal system	orthorhombic


# 9
Fe2CoHgPd | GGA-PBE | relaxed

Cell lengths 4.637, 4.637, 4.613 Å; angles 90.00, 90.00, 90.00 degrees
Positions (direct):
Fe 0.000 0.500 0.000
Fe 0.500 0.000 0.000
Co 0.000 0.000 0.500
Hg 0.500 0.500 0.500
Pd 0.000 0.000 0.000

Properties
energy relative to the lowest polymorph listed for this composition	26	meV per atom
ΔH_f (0 K)	1.265	eV per atom
crystal system	tetragonal


# 10
Na2TmAlSe4 | GGA-PBE | relaxed

Cell lengths 8.096, 8.096, 8.096 Å; angles 121.73, 118.70, 89.65 degrees
Positions (direct):
Na 0.000 0.000 0.000
Na 0.500 0.000 0.000
Na 0.500 0.000 0.500
Na 0.500 0.500 0.500
Tm 0.000 0.500 0.500
Tm 0.500 0.500 0.000
Al 0.000 0.000 0.500
Al 0.000 0.500 0.000
Se 0.211 0.747 0.464
Se 0.217 0.253 0.964
Se 0.235 0.242 0.507
Se 0.235 0.728 0.993
Se 0.765 0.272 0.007
Se 0.765 0.758 0.493
Se 0.783 0.747 0.036
Se 0.789 0.253 0.536

Properties
E_form (uncorrected)	-1.2875	eV per atom
crystal system	orthorhombic


# 11
BaSc2Pb | GGA-PBE | relaxed

Cell lengths 11.328, 11.328, 11.328 Å; angles 18.03, 18.03, 18.03 degrees
Positions (direct):
Ba 0.000 0.000 0.000
Sc 0.240 0.240 0.240
Sc 0.760 0.760 0.760
Pb 0.500 0.500 0.500

Properties
ΔH_f (0 K)	0.130	eV per atom
crystal system	trigonal


# 12
TlMoCl5 | GGA-PBE | relaxed

Cell lengths 8.012, 8.012, 9.398 Å; angles 108.18, 108.18, 55.98 degrees
Positions (direct):
Tl 0.044 0.956 0.750
Tl 0.956 0.044 0.250
Mo 0.500 0.500 0.000
Mo 0.500 0.500 0.500
Cl 0.157 0.593 0.478
Cl 0.158 0.589 0.887
Cl 0.397 0.603 0.250
Cl 0.407 0.843 0.022
Cl 0.411 0.842 0.613
Cl 0.589 0.158 0.387
Cl 0.593 0.157 0.978
Cl 0.603 0.397 0.750
Cl 0.842 0.411 0.113
Cl 0.843 0.407 0.522

Properties
E_form (uncorrected)	-0.8739	eV per atom
crystal system	monoclinic


# 13
BaNd2Cd2Sn2 | GGA-PBE | relaxed

Cell lengths 10.270, 10.270, 10.270 Å; angles 28.87, 28.87, 28.87 degrees
Positions (direct):
Ba 0.000 0.000 0.000
Nd 0.134 0.134 0.134
Nd 0.866 0.866 0.866
Cd 0.428 0.428 0.428
Cd 0.572 0.572 0.572
Sn 0.256 0.256 0.256
Sn 0.744 0.744 0.744

Properties
ΔH_f (0 K)	-0.383	eV per atom
crystal system	trigonal


# 14
HfVCo3 | GGA-PBE | relaxed

Cell lengths 5.491, 5.491, 5.491 Å; angles 139.88, 139.88, 58.04 degrees
Positions (direct):
Hf 0.000 0.000 0.000
V 0.638 0.638 0.000
Co 0.270 0.770 0.500
Co 0.418 0.418 0.000
Co 0.770 0.270 0.500

Properties
energy relative to the lowest polymorph listed for this composition	0	meV per atom
ΔH_f (0 K)	-0.122	eV per atom
crystal system	tetragonal


# 15
LaRe2AsF | GGA-PBE | relaxed

Cell lengths 4.933, 4.933, 5.640 Å; angles 90.00, 90.00, 90.00 degrees
Positions (direct):
La 0.000 0.000 0.000
Re 0.000 0.500 0.000
Re 0.500 0.000 0.000
As 0.000 0.000 0.500
F 0.500 0.500 0.500

Properties
E_form (uncorrected)	2.4919	eV per atom
crystal system	tetragonal


# 16
LaAlI2N | GGA-PBE | relaxed

Cell lengths 6.535, 6.535, 4.190 Å; angles 90.00, 90.00, 90.00 degrees
Positions (direct):
La 0.000 0.000 0.000
Al 0.500 0.500 0.500
I 0.000 0.500 0.000
I 0.500 0.000 0.000
N 0.000 0.000 0.500

Properties
energy relative to the lowest polymorph listed for this composition	189	meV per atom
E_form (uncorrected)	-0.2691	eV per atom
crystal system	tetragonal


# 17
RbB2Se6S2 | GGA-PBE | relaxed

Cell lengths 6.211, 7.791, 8.533 Å; angles 70.65, 70.21, 66.71 degrees
Positions (direct):
Rb 0.000 0.000 0.000
B 0.399 0.104 0.117
B 0.601 0.896 0.883
Se 0.034 0.284 0.204
Se 0.446 0.217 0.294
Se 0.496 0.816 0.147
Se 0.504 0.184 0.853
Se 0.554 0.783 0.706
Se 0.966 0.716 0.796
S 0.184 0.905 0.620
S 0.816 0.095 0.380

Properties
E_form (uncorrected)	-0.1273	eV per atom
crystal system	triclinic


# 18
Pr6NdSmHo2 | GGA-PBE | relaxed

Cell lengths 9.012, 9.012, 9.841 Å; angles 94.19, 94.19, 117.33 degrees
Positions (direct):
Pr 0.013 0.565 0.184
Pr 0.110 0.758 0.555
Pr 0.242 0.890 0.945
Pr 0.296 0.511 0.380
Pr 0.435 0.987 0.316
Pr 0.489 0.704 0.120
Pr 0.511 0.296 0.880
Pr 0.565 0.013 0.684
Pr 0.704 0.489 0.620
Pr 0.758 0.110 0.055
Pr 0.890 0.242 0.445
Pr 0.987 0.435 0.816
Nd 0.407 0.593 0.750
Nd 0.593 0.407 0.250
Sm 0.029 0.971 0.250
Sm 0.971 0.029 0.750
Ho 0.197 0.292 0.047
Ho 0.292 0.197 0.547
Ho 0.708 0.803 0.453
Ho 0.803 0.708 0.953

Properties
ΔH_f (0 K)	0.112	eV per atom
crystal system	monoclinic


# 19
In2SbPt9 | GGA-PBE | relaxed

Cell lengths 4.056, 4.056, 12.187 Å; angles 90.00, 90.00, 90.00 degrees
Positions (direct):
In 0.000 0.000 0.163
In 0.000 0.000 0.837
Sb 0.000 0.000 0.500
Pt 0.000 0.500 0.000
Pt 0.000 0.500 0.333
Pt 0.000 0.500 0.667
Pt 0.500 0.000 0.000
Pt 0.500 0.000 0.333
Pt 0.500 0.000 0.667
Pt 0.500 0.500 0.167
Pt 0.500 0.500 0.500
Pt 0.500 0.500 0.833

Properties
E_form (uncorrected)	-0.3441	eV per atom
crystal system	tetragonal


# 20
EuHoSe | GGA-PBE | relaxed

Cell lengths 3.959, 3.959, 6.789 Å; angles 90.00, 90.00, 120.00 degrees
Positions (direct):
Eu 0.000 0.000 0.000
Ho 0.333 0.667 0.546
Se 0.667 0.333 0.290

Properties
E_form (uncorrected)	-1.1106	eV per atom
crystal system	trigonal


# 21
Ho4GaGeN | GGA-PBE | relaxed

Cell lengths 8.294, 8.294, 6.479 Å; angles 90.00, 90.00, 134.00 degrees
Positions (direct):
Ho 0.000 0.500 0.000
Ho 0.000 0.500 0.500
Ho 0.081 0.919 0.750
Ho 0.418 0.582 0.750
Ho 0.500 0.000 0.000
Ho 0.500 0.000 0.500
Ho 0.582 0.418 0.250
Ho 0.919 0.081 0.250
Ga 0.113 0.887 0.250
Ga 0.887 0.113 0.750
Ge 0.388 0.612 0.250
Ge 0.612 0.388 0.750
N 0.252 0.748 0.750
N 0.748 0.252 0.250

Properties
E_form (uncorrected)	-0.9168	eV per atom
crystal system	orthorhombic